This record from Alexandria via LeMat-Bulk describes a PBEsol-optimized structure of HfAl5Ni2. The functional is meta-GGA SCAN.

Properties
- calculated formation energy (eV/atom) = -0.615
- magnetic moment (μB/cell) = 0.0
- total energy (eV for the cell shown) = -138.70
- crystal system = tetragonal
- ρ (g/cm3) = 6.29

Lattice parameters (Å, degrees): 3.973 3.973 7.729 104.89 104.89 90.00
Positions (direct):
Hf: 0.000 0.000 0.000
Al: 0.353 0.853 0.706
Ni: 0.241 0.241 0.481
Al: 0.647 0.147 0.294
Al: 0.500 0.500 0.000
Ni: 0.759 0.759 0.519
Al: 0.853 0.353 0.706
Al: 0.147 0.647 0.294

This record from Alexandria via LeMat-Bulk describes a PBEsol-optimized structure of Cr3W. The functional is meta-GGA SCAN.

Properties
- calculated formation energy (eV/atom) = -0.032
- magnetic moment (μB/cell) = 0.1
- total energy (eV for the cell shown) = -124.97
- crystal system = tetragonal
- ρ (g/cm3) = 11.39

Lattice parameters (Å, degrees): 2.925 4.116 4.116 90.00 90.00 90.00
Site moments in Bohr magnetons follow the coordinates.
Positions (direct):
Cr: 0.000 0.000 0.000  -2.13
Cr: 0.500 0.500 0.000  1.44
Cr: 0.500 0.000 0.500  1.44
W: 0.000 0.500 0.500  -0.57

This record from Alexandria via LeMat-Bulk describes a PBEsol-optimized structure of CdGeTe2. The functional is meta-GGA SCAN.

Properties
- energy relative to the elements, uncorrected (eV/atom) = 0.197
- magnetic moment (μB/cell) = 0.0
- total energy (eV for the cell shown) = -123.22
- crystal system = cubic
- ρ (g/cm3) = 7.53

Lattice parameters (Å, degrees): 5.159 5.159 5.159 60.00 60.00 60.00
Positions (direct):
Te: 0.750 0.750 0.750
Ge: 0.000 0.000 0.000
Te: 0.250 0.250 0.250
Cd: 0.500 0.500 0.500

This record from Alexandria via LeMat-Bulk describes a PBEsol-optimized structure of LaTcF2. The functional is meta-GGA SCAN.

Properties
- energy relative to the elements, uncorrected (eV/atom) = -1.562
- magnetic moment (μB/cell) = 1.8
- total energy (eV for the cell shown) = -91.49
- crystal system = trigonal
- ρ (g/cm3) = 7.33

Lattice parameters (Å, degrees): 3.054 3.054 7.906 78.86 78.86 60.00
Site moments in Bohr magnetons follow the coordinates.
Positions (direct):
F: 0.910 0.910 0.271  0.02
F: 0.090 0.090 0.729  0.02
Tc: 0.000 0.000 0.000  1.62
La: 0.500 0.500 0.500  0.00

This record from Alexandria via LeMat-Bulk describes a PBEsol-optimized structure of HfPAu2Cl. The functional is meta-GGA SCAN.

Properties
- energy relative to the elements, uncorrected (eV/atom) = 0.950
- magnetic moment (μB/cell) = 0.0
- total energy (eV for the cell shown) = -214.61
- crystal system = tetragonal
- ρ (g/cm3) = 10.31

Lattice parameters (Å, degrees): 4.649 4.705 4.705 90.00 90.00 90.00
Positions (direct):
Au: 0.000 0.500 0.000
Hf: 0.500 0.000 0.000
Au: 0.000 0.000 0.500
P: 0.500 0.500 0.500
Cl: 0.000 0.000 0.000

This record from Alexandria via LeMat-Bulk describes a PBEsol-optimized structure of Zr2TaSi2. The functional is meta-GGA SCAN.

Properties
- energy relative to the elements, uncorrected (eV/atom) = -0.847
- magnetic moment (μB/cell) = 0.0
- total energy (eV for the cell shown) = -304.49
- crystal system = tetragonal
- ρ (g/cm3) = 8.11

Lattice parameters (Å, degrees): 3.695 6.821 6.821 90.00 90.00 90.00
Positions (direct):
Ta: 0.000 0.000 0.000
Zr: 0.500 0.175 0.675
Si: 0.000 0.375 0.875
Si: 0.000 0.125 0.375
Zr: 0.500 0.825 0.325
Zr: 0.500 0.675 0.825
Si: 0.000 0.625 0.125
Zr: 0.500 0.325 0.175
Si: 0.000 0.875 0.625
Ta: 0.000 0.500 0.500

This record from Alexandria via LeMat-Bulk describes a PBEsol-optimized structure of ZrHgGeS2. The functional is meta-GGA SCAN.

Properties
- energy relative to the elements, uncorrected (eV/atom) = 0.389
- magnetic moment (μB/cell) = 0.8
- total energy (eV for the cell shown) = -135.26
- crystal system = tetragonal
- ρ (g/cm3) = 6.31

Lattice parameters (Å, degrees): 4.655 4.655 5.202 90.00 90.00 90.00
Site moments in Bohr magnetons follow the coordinates.
Positions (direct):
Ge: 0.000 0.000 0.000  0.01
S: 0.500 0.000 0.000  -0.01
Zr: 0.000 0.000 0.500  0.48
Hg: 0.500 0.500 0.500  0.02
S: 0.000 0.500 0.000  -0.01

This record from Alexandria via LeMat-Bulk describes a PBEsol-optimized structure of In2FeCu. The functional is meta-GGA SCAN.

Properties
- calculated formation energy (eV/atom) = 0.206
- magnetic moment (μB/cell) = 2.4
- total energy (eV for the cell shown) = -99.28
- crystal system = monoclinic
- ρ (g/cm3) = 8.91

Lattice parameters (Å, degrees): 2.942 4.551 5.323 107.60 106.04 90.00
Site moments in Bohr magnetons follow the coordinates.
Positions (direct):
In: 0.762 0.302 0.524  -0.09
Cu: 0.528 0.474 0.057  -0.01
Fe: 0.231 0.787 0.462  2.69
In: 0.979 0.936 0.957  -0.06

This record from Alexandria via LeMat-Bulk describes a PBEsol-optimized structure of KPdI2N. The functional is meta-GGA SCAN.

Properties
- energy relative to the elements, uncorrected (eV/atom) = 1.092
- magnetic moment (μB/cell) = 4.0
- total energy (eV for the cell shown) = -118.42
- crystal system = tetragonal
- ρ (g/cm3) = 3.63

Lattice parameters (Å, degrees): 4.903 6.211 6.211 90.00 90.00 90.00
Site moments in Bohr magnetons follow the coordinates.
Positions (direct):
I: 0.000 0.000 0.500  0.16
N: 0.500 0.000 0.000  1.90
K: 0.000 0.000 0.000  0.04
I: 0.000 0.500 0.000  0.16
Pd: 0.500 0.500 0.500  0.69

This record from Alexandria via LeMat-Bulk describes a PBEsol-optimized structure of Cr2HgRu. The functional is meta-GGA SCAN.

Properties
- calculated formation energy (eV/atom) = 0.432
- magnetic moment (μB/cell) = 5.8
- total energy (eV for the cell shown) = -138.03
- crystal system = tetragonal
- ρ (g/cm3) = 12.19

Lattice parameters (Å, degrees): 3.783 3.784 4.695 113.77 113.75 90.00
Site moments in Bohr magnetons follow the coordinates.
Positions (direct):
Cr: 0.250 0.250 0.500  3.05
Cr: 0.750 0.750 0.500  3.05
Hg: 0.500 0.000 0.000  -0.02
Ru: 0.000 0.500 0.000  -0.54

This record from Alexandria via LeMat-Bulk describes a PBEsol-optimized structure of CsK2Na. The functional is meta-GGA SCAN.

Properties
- calculated formation energy (eV/atom) = 0.030
- magnetic moment (μB/cell) = 0.0
- total energy (eV for the cell shown) = -58.56
- crystal system = cubic
- ρ (g/cm3) = 1.46

Lattice parameters (Å, degrees): 7.217 7.217 7.217 60.00 60.00 60.00
Positions (direct):
Cs: 0.500 0.500 0.500
Na: 0.000 0.000 0.000
K: 0.750 0.750 0.750
K: 0.250 0.250 0.250

This record from Alexandria via LeMat-Bulk describes a PBEsol-optimized structure of MgPbN2O. The functional is meta-GGA SCAN.

Properties
- energy relative to the elements, uncorrected (eV/atom) = 0.403
- magnetic moment (μB/cell) = 4.0
- total energy (eV for the cell shown) = -103.56
- crystal system = tetragonal
- ρ (g/cm3) = 6.79

Lattice parameters (Å, degrees): 3.908 4.153 4.153 90.00 90.00 90.00
Site moments in Bohr magnetons follow the coordinates.
Positions (direct):
Pb: 0.500 0.500 0.500  0.01
Mg: 0.000 0.000 0.000  0.00
N: 0.000 0.500 0.000  1.23
O: 0.500 0.000 0.000  0.55
N: 0.000 0.000 0.500  1.23

This record from Alexandria via LeMat-Bulk describes a PBEsol-optimized structure of BaCaPb2. The functional is meta-GGA SCAN.

Properties
- calculated formation energy (eV/atom) = -0.670
- magnetic moment (μB/cell) = 0.0
- total energy (eV for the cell shown) = -203.46
- crystal system = monoclinic
- ρ (g/cm3) = 7.50

Lattice parameters (Å, degrees): 5.217 5.988 5.273 114.94 90.00 115.82
Positions (direct):
Ca: 0.000 0.000 0.500
Pb: 0.750 0.499 0.737
Pb: 0.250 0.501 0.263
Ba: 0.500 0.000 0.000

This record from Alexandria via LeMat-Bulk describes a PBEsol-optimized structure of K3InC. The functional is meta-GGA SCAN.

Properties
- calculated formation energy (eV/atom) = 0.806
- magnetic moment (μB/cell) = 2.4
- total energy (eV for the cell shown) = -64.44
- crystal system = cubic
- ρ (g/cm3) = 2.17

Lattice parameters (Å, degrees): 5.714 5.714 5.714 90.00 90.00 90.00
Site moments in Bohr magnetons follow the coordinates.
Positions (direct):
K: 0.000 0.500 0.000  0.02
C: 0.000 0.000 0.000  1.14
In: 0.500 0.500 0.500  -0.03
K: 0.000 0.000 0.500  0.02
K: 0.500 0.000 0.000  0.02

This record from Alexandria via LeMat-Bulk describes a PBEsol-optimized structure of TlFe2Ru. The functional is meta-GGA SCAN.

Properties
- calculated formation energy (eV/atom) = 0.378
- magnetic moment (μB/cell) = 6.6
- total energy (eV for the cell shown) = -141.93
- crystal system = tetragonal
- ρ (g/cm3) = 12.13

Lattice parameters (Å, degrees): 3.872 3.872 4.692 114.37 114.37 90.00
Site moments in Bohr magnetons follow the coordinates.
Positions (direct):
Fe: 0.000 0.000 0.000  2.98
Ru: 0.500 0.500 0.000  1.02
Tl: 0.250 0.750 0.500  -0.10
Fe: 0.750 0.250 0.500  2.87

This record from Alexandria via LeMat-Bulk describes a PBEsol-optimized structure of Sc2InAu2. The functional is meta-GGA SCAN.

Properties
- calculated formation energy (eV/atom) = -0.987
- magnetic moment (μB/cell) = 0.0
- total energy (eV for the cell shown) = -820.45
- crystal system = tetragonal
- ρ (g/cm3) = 10.13

Lattice parameters (Å, degrees): 6.874 7.555 7.555 90.00 90.00 90.00
Positions (direct):
Au: 0.221 0.369 0.369
Sc: 0.000 0.682 0.318
Au: 0.721 0.869 0.131
In: 0.250 0.000 0.500
Sc: 0.000 0.318 0.682
Au: 0.279 0.131 0.869
Au: 0.279 0.869 0.131
Sc: 0.000 0.848 0.848
Sc: 0.500 0.348 0.652
Au: 0.221 0.631 0.631
In: 0.750 0.500 0.000
Au: 0.779 0.369 0.369
Sc: 0.500 0.818 0.818
Sc: 0.500 0.652 0.348
In: 0.250 0.500 0.000
Au: 0.721 0.131 0.869
In: 0.750 0.000 0.500
Au: 0.779 0.631 0.631
Sc: 0.000 0.152 0.152
Sc: 0.500 0.182 0.182

This record from Alexandria via LeMat-Bulk describes a PBEsol-optimized structure of BeAg2Ir. The functional is meta-GGA SCAN.

Properties
- calculated formation energy (eV/atom) = 0.332
- magnetic moment (μB/cell) = 0.0
- total energy (eV for the cell shown) = -136.86
- crystal system = tetragonal
- ρ (g/cm3) = 12.74

Lattice parameters (Å, degrees): 2.795 2.795 6.958 90.00 90.00 90.00
Positions (direct):
Ag: 0.000 0.000 0.787
Ag: 0.000 0.000 0.213
Be: 0.500 0.500 0.000
Ir: 0.500 0.500 0.500

This record from Alexandria via LeMat-Bulk describes a PBEsol-optimized structure of Cd3Pt2. The functional is meta-GGA SCAN.

Properties
- calculated formation energy (eV/atom) = -0.304
- magnetic moment (μB/cell) = 0.0
- total energy (eV for the cell shown) = -233.15
- crystal system = trigonal
- ρ (g/cm3) = 12.47

Lattice parameters (Å, degrees): 4.526 4.526 5.461 90.00 90.00 120.00
Positions (direct):
Pt: 0.667 0.333 0.142
Pt: 0.333 0.667 0.858
Cd: 0.667 0.333 0.639
Cd: 0.000 0.000 0.000
Cd: 0.333 0.667 0.361

This record from Alexandria via LeMat-Bulk describes a PBEsol-optimized structure of Zr2AlBr. The functional is meta-GGA SCAN.

Properties
- energy relative to the elements, uncorrected (eV/atom) = -0.247
- magnetic moment (μB/cell) = 0.0
- total energy (eV for the cell shown) = -89.60
- crystal system = tetragonal
- ρ (g/cm3) = 5.59

Lattice parameters (Å, degrees): 3.611 3.611 6.591 90.00 90.00 90.00
Positions (direct):
Zr: 0.500 0.500 0.258
Al: 0.000 0.000 0.442
Br: 0.500 0.500 0.813
Zr: 0.000 0.000 0.987

This record from Alexandria via LeMat-Bulk describes a PBEsol-optimized structure of CaSc3As. The functional is meta-GGA SCAN.

Properties
- calculated formation energy (eV/atom) = 1.215
- magnetic moment (μB/cell) = 0.0
- total energy (eV for the cell shown) = -66.49
- crystal system = cubic
- ρ (g/cm3) = 3.45

Lattice parameters (Å, degrees): 4.937 4.937 4.937 90.00 90.00 90.00
Positions (direct):
Sc: 0.000 0.000 0.500
Ca: 0.000 0.000 0.000
Sc: 0.500 0.000 0.000
As: 0.500 0.500 0.500
Sc: 0.000 0.500 0.000